Record 1
Here is a relaxed MnCuAg2 crystal from Alexandria. Energies are from PBE-GGA.

Cell and atoms, written as POSCAR:
```
MnCuAg2
1.0
2.949 0.000 0.000
0.000 2.949 0.000
0.000 0.000 7.292
Mn Cu Ag
1 1 2
Direct
0.000 0.000 0.000 Mn
0.000 0.000 0.500 Cu
0.500 0.500 0.260 Ag
0.500 0.500 0.740 Ag
```

- formation enthalpy at 0 K (eV per atom) = 0.228
- density (Mg/m³) = 8.75
- magnetization (μB/cell) = 4.02


Record 2
Here is a relaxed Mn2CuAg crystal from Alexandria. Energies are from PBE-GGA.

Cell and atoms, written as POSCAR:
```
Mn2CuAg
1.0
3.488 0.000 0.000
0.000 3.488 0.000
0.000 0.000 18.548
Mn Cu Ag
8 4 4
Direct
0.177 0.250 0.125 Mn
0.250 0.677 0.375 Mn
0.250 0.823 0.875 Mn
0.323 0.250 0.625 Mn
0.677 0.750 0.625 Mn
0.750 0.177 0.875 Mn
0.750 0.323 0.375 Mn
0.823 0.750 0.125 Mn
0.000 0.000 0.000 Cu
0.000 0.500 0.250 Cu
0.500 0.000 0.750 Cu
0.500 0.500 0.500 Cu
0.000 0.000 0.500 Ag
0.000 0.500 0.750 Ag
0.500 0.000 0.250 Ag
0.500 0.500 0.000 Ag
```

- formation enthalpy at 0 K (eV per atom) = 0.815
- density (Mg/m³) = 8.28
- magnetization (μB/cell) = 0.00


Record 3
Here is a relaxed Mn2CuAg crystal from Alexandria. Energies are from PBE-GGA.

Cell and atoms, written as POSCAR:
```
Mn2CuAg
1.0
9.180 0.000 0.000
0.000 2.832 0.000
-0.989 0.000 4.590
Mn Cu Ag
4 2 2
Direct
0.000 0.000 0.000 Mn
0.246 0.000 0.728 Mn
0.500 0.500 0.000 Mn
0.746 0.500 0.728 Mn
0.242 0.500 0.210 Cu
0.742 0.000 0.210 Cu
0.490 0.000 0.488 Ag
0.990 0.500 0.488 Ag
```

- formation enthalpy at 0 K (eV per atom) = 0.323
- density (Mg/m³) = 7.83
- magnetization (μB/cell) = 15.18